Entry 1:
Material: CaZnHg2
Method: DFT, PBE-GGA
State: optimized geometry

Lattice parameters (Å, degrees): 3.5734 4.1700 6.6132 90.00 102.07 90.00
Closest atoms and distances in Å follow each position.
Fractional coordinates of all 4 atoms:
1 Ca 0.0000 0.0000 0.0000  8 Hg 3.23-3.29, 2 Zn 3.31, 2 Ca 3.57
2 Zn 0.0000 0.0000 0.5000  4 Hg 2.80
3 Hg 0.4099 0.5000 0.7289  2 Zn 2.80
4 Hg 0.5901 0.5000 0.2711  2 Zn 2.80

Properties
DFT total energy: -0.0903 Ry/atom
total moment: 0.00 μB per cell
DFT formation energy: -0.258 eV per atom
crystal system: monoclinic


Entry 2:
Material: SbPI2
Method: DFT, PBE-GGA
State: optimized geometry

Lattice parameters (Å, degrees): 8.3872 8.3872 6.9948 90.00 90.00 90.00
Closest atoms and distances in Å follow each position.
Fractional coordinates of all 16 atoms:
1 Sb 0.0000 0.0000 0.0000  4 I 3.26, 2 P 3.50
2 Sb 0.0000 0.5000 0.2500  4 I 3.26, 2 P 3.50
3 Sb 0.5000 0.0000 0.7500  4 I 3.26, 2 P 3.50
4 Sb 0.5000 0.5000 0.5000  4 I 3.26, 2 P 3.50
5 P 0.0000 0.0000 0.5000  4 I 2.93
6 P 0.0000 0.5000 0.7500  4 I 2.93
7 P 0.5000 0.0000 0.2500  4 I 2.93
8 P 0.5000 0.5000 0.0000  4 I 2.93
9 I 0.2210 0.2500 0.6250  2 P 2.93, 2 Sb 3.26
10 I 0.2500 0.7210 0.8750  2 P 2.93, 2 Sb 3.26
11 I 0.2500 0.7790 0.3750  2 P 2.93, 2 Sb 3.26
12 I 0.2790 0.2500 0.1250  2 P 2.93, 2 Sb 3.26
13 I 0.7210 0.7500 0.1250  2 P 2.93, 2 Sb 3.26
14 I 0.7500 0.2210 0.3750  2 P 2.93, 2 Sb 3.26
15 I 0.7500 0.2790 0.8750  2 P 2.93, 2 Sb 3.26
16 I 0.7790 0.7500 0.6250  2 P 2.93, 2 Sb 3.26

Properties
DFT total energy: -0.1815 Ry/atom
total moment: 0.00 μB per cell
E_form (uncorrected): 0.689 eV/atom
crystal system: tetragonal
energy above the lowest structure with this stoichiometry: 0.0 meV/atom


Entry 3:
Material: Sm6Y2Ho5
Method: DFT, PBE-GGA
State: optimized geometry

Lattice parameters (Å, degrees): 11.7023 20.3827 3.6060 90.00 90.00 90.00
Closest atoms and distances in Å follow each position.
Fractional coordinates of all 26 atoms:
1 Sm 0.0589 0.0798 0.0000  6 Ho 3.49-3.66, 5 Sm 3.53-3.77, 1 Y 3.75
2 Sm 0.0819 0.3666 0.0000  1 Y 3.36, 6 Ho 3.40-3.53, 4 Sm 3.49-3.61
3 Sm 0.1735 0.6326 0.5000  2 Ho 3.31-3.38, 4 Sm 3.49-3.61, 2 Y 3.66
4 Sm 0.3265 0.1326 0.5000  2 Ho 3.31-3.38, 4 Sm 3.49-3.61, 2 Y 3.66
5 Sm 0.4181 0.8666 0.0000  1 Y 3.36, 6 Ho 3.40-3.53, 4 Sm 3.49-3.61
6 Sm 0.4411 0.5798 0.0000  6 Ho 3.49-3.66, 5 Sm 3.53-3.77, 1 Y 3.75
7 Sm 0.5589 0.4202 0.0000  6 Ho 3.49-3.66, 5 Sm 3.53-3.77, 1 Y 3.75
8 Sm 0.5819 0.1335 0.0000  1 Y 3.36, 6 Ho 3.40-3.53, 4 Sm 3.49-3.61
9 Sm 0.6735 0.8674 0.5000  2 Ho 3.31-3.38, 4 Sm 3.49-3.61, 2 Y 3.66
10 Sm 0.8265 0.3674 0.5000  2 Ho 3.31-3.38, 4 Sm 3.49-3.61, 2 Y 3.66
11 Sm 0.9181 0.6334 0.0000  1 Y 3.36, 6 Ho 3.40-3.53, 4 Sm 3.49-3.61
12 Sm 0.9411 0.9202 0.0000  6 Ho 3.49-3.66, 5 Sm 3.53-3.77, 1 Y 3.75
13 Y 0.1653 0.7886 0.0000  4 Sm 3.36-3.75, 6 Ho 3.54-3.70, 2 Y 3.61
14 Y 0.3347 0.2886 0.0000  4 Sm 3.36-3.75, 6 Ho 3.54-3.70, 2 Y 3.61
15 Y 0.6653 0.7114 0.0000  4 Sm 3.36-3.75, 6 Ho 3.54-3.70, 2 Y 3.61
16 Y 0.8347 0.2114 0.0000  4 Sm 3.36-3.75, 6 Ho 3.54-3.70, 2 Y 3.61
17 Ho 0.0000 0.5000 0.5000  6 Sm 3.38-3.40, 4 Ho 3.61-3.69
18 Ho 0.0941 0.2251 0.5000  5 Sm 3.31-3.49, 4 Y 3.54-3.59, 2 Ho 3.61
19 Ho 0.1991 0.9461 0.5000  6 Sm 3.53-3.66, 3 Ho 3.61-3.69, 2 Y 3.70
20 Ho 0.3009 0.4461 0.5000  6 Sm 3.53-3.66, 3 Ho 3.61-3.69, 2 Y 3.70
21 Ho 0.4059 0.7251 0.5000  5 Sm 3.31-3.49, 4 Y 3.54-3.59, 2 Ho 3.61
22 Ho 0.5000 0.0000 0.5000  6 Sm 3.38-3.40, 4 Ho 3.61-3.69
23 Ho 0.5941 0.2749 0.5000  5 Sm 3.31-3.49, 4 Y 3.54-3.59, 2 Ho 3.61
24 Ho 0.6991 0.5539 0.5000  6 Sm 3.53-3.66, 3 Ho 3.61-3.69, 2 Y 3.70
25 Ho 0.8009 0.0539 0.5000  6 Sm 3.53-3.66, 3 Ho 3.61-3.69, 2 Y 3.70
26 Ho 0.9059 0.7749 0.5000  5 Sm 3.31-3.49, 4 Y 3.54-3.59, 2 Ho 3.61

Properties
DFT total energy: -0.3553 Ry/atom
total moment: 0.00 μB per cell
DFT formation energy: 0.099 eV per atom
crystal system: orthorhombic


Entry 4:
Material: Pr5In2AgIr2
Method: DFT, PBE-GGA
State: optimized geometry

Lattice parameters (Å, degrees): 12.1584 12.1584 3.8383 90.00 90.00 90.00
Closest atoms and distances in Å follow each position.
Fractional coordinates of all 20 atoms:
1 Pr 0.0000 0.5000 0.0000  4 Ir 3.00
2 Pr 0.0735 0.2048 0.0000  2 Ir 2.84
3 Pr 0.2048 0.9265 0.0000  2 Ir 2.84
4 Pr 0.2952 0.4265 0.0000  2 Ir 2.84
5 Pr 0.4265 0.7048 0.0000  2 Ir 2.84
6 Pr 0.5000 0.0000 0.0000  4 Ir 3.00
7 Pr 0.5735 0.2952 0.0000  2 Ir 2.84
8 Pr 0.7048 0.5735 0.0000  2 Ir 2.84
9 Pr 0.7952 0.0735 0.0000  2 Ir 2.84
10 Pr 0.9265 0.7952 0.0000  2 Ir 2.84
11 In 0.1784 0.6784 0.5000  1 Ir 3.22, 4 Pr 3.59
12 In 0.3216 0.1784 0.5000  1 Ir 3.22, 4 Pr 3.59
13 In 0.6784 0.8216 0.5000  1 Ir 3.22, 4 Pr 3.59
14 In 0.8216 0.3216 0.5000  1 Ir 3.22, 4 Pr 3.59
15 Ag 0.0000 0.0000 0.5000  8 Pr 3.27
16 Ag 0.5000 0.5000 0.5000  8 Pr 3.27
17 Ir 0.1341 0.3659 0.5000  6 Pr 2.84-3.00
18 Ir 0.3659 0.8659 0.5000  6 Pr 2.84-3.00
19 Ir 0.6341 0.1341 0.5000  6 Pr 2.84-3.00
20 Ir 0.8659 0.6341 0.5000  6 Pr 2.84-3.00

Properties
DFT total energy: -0.4005 Ry/atom
total moment: 0.00 μB per cell
DFT formation energy: -0.455 eV per atom
crystal system: tetragonal


Question: total moment of number 3 (Sm6Y2Ho5)?
Answer: 0.00 μB per cell